VASP calculation (PBEsol) on an optimized crystal structure of SbMoBr2.

Geometry as CIF:
```
data_SbMoBr2
_chemical_formula_sum 'Sb1 Mo1 Br2'
_cell_length_a 3.441
_cell_length_b 3.441
_cell_length_c 8.997
_cell_angle_alpha 90.00
_cell_angle_beta 90.00
_cell_angle_gamma 90.00
_space_group_name_H-M_alt 'P 4 m m'
_space_group_IT_number 99
loop_
_space_group_symop_operation_xyz
'x,y,z'
'-y,x,z'
'-x,-y,z'
'y,-x,z'
'-x,y,z'
'y,x,z'
'x,-y,z'
'-y,-x,z'
loop_
_atom_site_label
_atom_site_type_symbol
_atom_site_fract_x
_atom_site_fract_y
_atom_site_fract_z
Sb1 Sb 0.000 0.000 0.000
Mo1 Mo 0.500 0.500 0.134
Br1 Br 0.000 0.000 0.720
Br2 Br 0.500 0.500 0.397
```

Properties
The raw formation energy is 0.126 eV/atom. The final energy comes out at -4.89 eV per atom.

VASP calculation (PBEsol) on an optimized crystal structure of RePt3.

Geometry as CIF:
```
data_RePt3
_chemical_formula_sum 'Re4 Pt12'
_cell_length_a 6.223
_cell_length_b 6.223
_cell_length_c 6.223
_cell_angle_alpha 90.00
_cell_angle_beta 90.00
_cell_angle_gamma 90.00
_space_group_name_H-M_alt 'F m -3 m'
_space_group_IT_number 225
_space_group_name_Hall '-F 4 2 3'
loop_
_atom_site_label
_atom_site_type_symbol
_atom_site_fract_x
_atom_site_fract_y
_atom_site_fract_z
Re1 Re 0.000 0.000 0.000
Pt1 Pt 0.000 0.000 0.500
Pt2 Pt 0.250 0.250 0.250
```

Properties
The final energy comes out at -8.30 eV per atom.

VASP calculation (PBEsol) on an optimized crystal structure of Na2Cd2Ga.

Geometry as CIF:
```
data_Na2Cd2Ga
_chemical_formula_sum 'Na4 Cd4 Ga2'
_cell_length_a 7.047
_cell_length_b 7.047
_cell_length_c 4.963
_cell_angle_alpha 90.00
_cell_angle_beta 90.00
_cell_angle_gamma 90.00
_space_group_name_H-M_alt 'P 4/m b m'
_space_group_IT_number 127
_space_group_name_Hall '-P 4 2ab'
loop_
_atom_site_label
_atom_site_type_symbol
_atom_site_fract_x
_atom_site_fract_y
_atom_site_fract_z
Na1 Na 0.172 0.328 0.000
Cd1 Cd 0.142 0.642 0.500
Ga1 Ga 0.000 0.000 0.500
```

Properties
The final energy comes out at -1.72 eV per atom.

VASP calculation (PBEsol) on an optimized crystal structure of MnBi2Cl.

Geometry as CIF:
```
data_MnBi2Cl
_chemical_formula_sum 'Mn4 Bi8 Cl4'
_cell_length_a 7.183
_cell_length_b 7.183
_cell_length_c 7.183
_cell_angle_alpha 90.00
_cell_angle_beta 90.00
_cell_angle_gamma 90.00
_space_group_name_H-M_alt 'F m -3 m'
_space_group_IT_number 225
_space_group_name_Hall '-F 4 2 3'
loop_
_atom_site_label
_atom_site_type_symbol
_atom_site_fract_x
_atom_site_fract_y
_atom_site_fract_z
Mn1 Mn 0.000 0.000 0.000
Bi1 Bi 0.250 0.250 0.250
Cl1 Cl 0.000 0.000 0.500
```

Properties
The raw formation energy is 0.248 eV/atom. The final energy comes out at -4.84 eV per atom.